{"formula": "Ta2Fe", "functional": "PBEsol", "state": "optimized geometry", "space_group": "P6_3/mmc (194)", "magmom_total_mub_per_cell": 0.00, "mass_density_g_cm3": 15.22, "total_energy_ry_per_atom": -0.826, "lattice_angstrom": [[4.546, 0.000, 0.000], [-2.273, 3.937, 0.000], [0.000, 0.000, 5.092]], "species": ["Ta", "Ta", "Ta", "Ta", "Fe", "Fe"], "frac_coords": [[0.000, 0.000, 0.000], [0.000, 0.000, 0.500], [0.333, 0.667, 0.250], [0.667, 0.333, 0.750], [0.333, 0.667, 0.750], [0.667, 0.333, 0.250]]}